No. 1
# Dy4Th3 PBE-GGA optimized geometry
# Total moment in μB per formula unit: 0.00
# ΔH_f (0 K) in kJ/mol of atoms: 14.5
# Raw total energy in eV/atom: -5.66
# Fermi-level density of states in states/eV/f.u.: 10.93
# Calculated volume in Å³ per cell: 227.45
data_Dy4Th3
_space_group_name_H-M_alt 'P 1'
_space_group_IT_number 1
_cell_length_a 8.7492
_cell_length_b 8.7492
_cell_length_c 8.6685
_cell_angle_alpha 117.37
_cell_angle_beta 117.37
_cell_angle_gamma 22.84
loop_
_space_group_symop_operation_xyz
'x,y,z'
loop_
_atom_site_label
_atom_site_type_symbol
_atom_site_fract_x
_atom_site_fract_y
_atom_site_fract_z
Dy1 Dy 0.0810 0.0810 0.2042
Dy2 Dy 0.3640 0.3640 0.0998
Dy3 Dy 0.6360 0.6360 0.9002
Dy4 Dy 0.9190 0.9190 0.7958
Th1 Th 0.0000 0.0000 0.5000
Th2 Th 0.2183 0.2183 0.6388
Th3 Th 0.7817 0.7817 0.3612

***

No. 2
# LiTaNi4 PBE-GGA optimized geometry
# Total moment in μB per formula unit: 0.00
# ΔH_f (0 K) in kJ/mol of atoms: 8.1
# Raw total energy in eV/atom: -6.06
# Fermi-level density of states in states/eV/f.u.: 4.59
# Calculated volume in Å³ per cell: 77.57
data_LiTaNi4
_space_group_name_H-M_alt 'P 1'
_space_group_IT_number 1
_cell_length_a 2.6094
_cell_length_b 4.1598
_cell_length_c 7.1465
_cell_angle_alpha 90.00
_cell_angle_beta 90.00
_cell_angle_gamma 90.00
loop_
_space_group_symop_operation_xyz
'x,y,z'
loop_
_atom_site_label
_atom_site_type_symbol
_atom_site_fract_x
_atom_site_fract_y
_atom_site_fract_z
Li1 Li 0.0000 0.0000 0.0000
Ta1 Ta 0.5000 0.5000 0.5000
Ni1 Ni 0.0000 0.5000 0.1876
Ni2 Ni 0.0000 0.5000 0.8124
Ni3 Ni 0.5000 0.0000 0.3046
Ni4 Ni 0.5000 0.0000 0.6954

***

No. 3
# KFeSeN2 PBE-GGA optimized geometry
# Total moment in μB per formula unit: 0.00
# Raw total energy in eV/atom: -5.12
# Fermi-level density of states in states/eV/f.u.: 4.60
# Calculated volume in Å³ per cell: 76.02
# Uncorrected formation energy in eV/atom: 0.82
data_KFeSeN2
_space_group_name_H-M_alt 'P 1'
_space_group_IT_number 1
_cell_length_a 3.8412
_cell_length_b 3.8412
_cell_length_c 5.1523
_cell_angle_alpha 90.00
_cell_angle_beta 90.00
_cell_angle_gamma 90.00
loop_
_space_group_symop_operation_xyz
'x,y,z'
loop_
_atom_site_label
_atom_site_type_symbol
_atom_site_fract_x
_atom_site_fract_y
_atom_site_fract_z
K1 K 0.0000 0.0000 0.0000
Fe1 Fe 0.5000 0.5000 0.5000
Se1 Se 0.5000 0.5000 0.0000
N1 N 0.0000 0.5000 0.5000
N2 N 0.5000 0.0000 0.5000

***

No. 4
# Pm3MgHg PBE-GGA optimized geometry
# Total moment in μB per formula unit: 0.31
# ΔH_f (0 K) in kJ/mol of atoms: -19.9
# Raw total energy in eV/atom: -3.44
# Fermi-level density of states in states/eV/f.u.: 6.00
# Calculated volume in Å³ per cell: 295.16
data_Pm3MgHg
_space_group_name_H-M_alt 'P 1'
_space_group_IT_number 1
_cell_length_a 10.6852
_cell_length_b 10.6852
_cell_length_c 5.3362
_cell_angle_alpha 90.00
_cell_angle_beta 90.00
_cell_angle_gamma 151.02
loop_
_space_group_symop_operation_xyz
'x,y,z'
loop_
_atom_site_label
_atom_site_type_symbol
_atom_site_fract_x
_atom_site_fract_y
_atom_site_fract_z
Pm1 Pm 0.0584 0.9416 0.7500
Pm2 Pm 0.2495 0.7505 0.7500
Pm3 Pm 0.4373 0.5627 0.7500
Pm4 Pm 0.5627 0.4373 0.2500
Pm5 Pm 0.7505 0.2495 0.2500
Pm6 Pm 0.9416 0.0584 0.2500
Mg1 Mg 0.1533 0.8467 0.2500
Mg2 Mg 0.8467 0.1533 0.7500
Hg1 Hg 0.3433 0.6567 0.2500
Hg2 Hg 0.6567 0.3433 0.7500

***

No. 5
# Hf2HgCl PBE-GGA optimized geometry
# Total moment in μB per formula unit: 0.00
# Raw total energy in eV/atom: -5.30
# Fermi-level density of states in states/eV/f.u.: 3.28
# Calculated volume in Å³ per cell: 185.37
# Uncorrected formation energy in eV/atom: 0.21
data_Hf2HgCl
_space_group_name_H-M_alt 'P 1'
_space_group_IT_number 1
_cell_length_a 10.4727
_cell_length_b 10.4727
_cell_length_c 10.4727
_cell_angle_alpha 156.30
_cell_angle_beta 156.30
_cell_angle_gamma 33.76
loop_
_space_group_symop_operation_xyz
'x,y,z'
loop_
_atom_site_label
_atom_site_type_symbol
_atom_site_fract_x
_atom_site_fract_y
_atom_site_fract_z
Hf1 Hf 0.1241 0.6250 0.9991
Hf2 Hf 0.3750 0.3741 0.4991
Hf3 Hf 0.6259 0.1250 0.0009
Hf4 Hf 0.8750 0.8759 0.5009
Hg1 Hg 0.0000 0.0000 0.0000
Hg2 Hg 0.7500 0.2500 0.5000
Cl1 Cl 0.2500 0.7500 0.5000
Cl2 Cl 0.5000 0.5000 0.0000

***

No. 6
# Rb2TlZnF6 PBE-GGA optimized geometry
# Total moment in μB per formula unit: 0.00
# Raw total energy in eV/atom: -4.03
# Fermi-level density of states in states/eV/f.u.: 2.76
# Calculated volume in Å³ per cell: 177.22
# Uncorrected formation energy in eV/atom: -2.34
data_Rb2TlZnF6
_space_group_name_H-M_alt 'P 1'
_space_group_IT_number 1
_cell_length_a 6.3048
_cell_length_b 6.3048
_cell_length_c 6.3048
_cell_angle_alpha 60.00
_cell_angle_beta 60.00
_cell_angle_gamma 60.00
loop_
_space_group_symop_operation_xyz
'x,y,z'
loop_
_atom_site_label
_atom_site_type_symbol
_atom_site_fract_x
_atom_site_fract_y
_atom_site_fract_z
Rb1 Rb 0.2500 0.2500 0.2500
Rb2 Rb 0.7500 0.7500 0.7500
Tl1 Tl 0.0000 0.0000 0.0000
Zn1 Zn 0.5000 0.5000 0.5000
F1 F 0.2694 0.2694 0.7306
F2 F 0.2694 0.7306 0.2694
F3 F 0.2694 0.7306 0.7306
F4 F 0.7306 0.2694 0.2694
F5 F 0.7306 0.2694 0.7306
F6 F 0.7306 0.7306 0.2694

***

Question: Which formula does entry 1 have?
Answer: Dy4Th3